{
  "formula": "AlTl2Fe",
  "functional": "PBE",
  "state": "optimized geometry",
  "cell": [[1.624, 0.938, 9.273], [-1.624, 0.938, 9.273], [0.000, -1.876, 9.273]],
  "species": ["Al", "Tl", "Tl", "Fe"],
  "fractional_positions": [[0.000, 0.000, 0.000], [0.245, 0.245, 0.245], [0.755, 0.755, 0.755], [0.500, 0.500, 0.500]],
  "n_ef_per_ev_cell": 2.90,
  "formation_energy_mev_per_atom": 529
}

---

{
  "formula": "AcCe2InIr",
  "functional": "PBE",
  "state": "optimized geometry",
  "cell": [[5.397, 0.000, 0.000], [0.000, 5.397, 0.000], [0.000, 0.000, 5.984]],
  "species": ["Ac", "Ce", "Ce", "In", "Ir"],
  "fractional_positions": [[0.000, 0.000, 0.000], [0.000, 0.500, 0.493], [0.500, 0.000, 0.493], [0.500, 0.500, 0.033], [0.000, 0.000, 0.501]],
  "n_ef_per_ev_cell": 14.02,
  "formation_energy_mev_per_atom": -310
}

---

{
  "formula": "TcHN3",
  "functional": "PBE",
  "state": "optimized geometry",
  "cell": [[3.288, 0.000, 0.000], [0.000, 3.288, 0.000], [0.000, 0.000, 3.288]],
  "species": ["Tc", "H", "N", "N", "N"],
  "fractional_positions": [[0.000, 0.000, 0.000], [0.500, 0.500, 0.500], [0.000, 0.500, 0.500], [0.500, 0.000, 0.500], [0.500, 0.500, 0.000]],
  "n_ef_per_ev_cell": 3.96,
  "e_tot_ev_per_cell": -28.39
}

---

{
  "formula": "TaTeRu2Br",
  "functional": "PBE",
  "state": "optimized geometry",
  "cell": [[4.874, 0.000, 0.000], [0.000, 4.874, 0.000], [0.000, 0.000, 4.874]],
  "species": ["Ta", "Te", "Ru", "Ru", "Br"],
  "fractional_positions": [[0.000, 0.000, 0.000], [0.500, 0.500, 0.500], [0.000, 0.500, 0.000], [0.500, 0.000, 0.000], [0.000, 0.000, 0.500]],
  "n_ef_per_ev_cell": 3.76,
  "raw_formation_energy_ev_per_atom": 1.122
}